A geometry-optimized YMnSeO2 structure, computed with GGA+U.

Results
SG: No. 63
Calculated total energy, Ha/atom: -0.2749

abc: 6.3594 6.3594 5.3919
angles: 90.00 90.00 129.91
Sites, in units of the cell vectors:
1 Y 0.1247 0.8753 0.7500
2 Y 0.8753 0.1247 0.2500
3 Mn 0.4756 0.5244 0.7500
4 Mn 0.5244 0.4756 0.2500
5 Se 0.2559 0.7441 0.2500
6 Se 0.7441 0.2559 0.7500
7 O 0.2507 0.2507 0.0000
8 O 0.2507 0.2507 0.5000
9 O 0.7493 0.7493 0.0000
10 O 0.7493 0.7493 0.5000